! PBE-GGA Pm3MgIn, optimized geometry; values from VASP
! * uncorrected energy: -39.52 eV/cell
&SYSTEM
  ibrav = 0, nat = 10, ntyp = 3
/
ATOMIC_SPECIES
Pm 145.00 Pm.upf
In 114.82 In.upf
Mg 24.30 Mg.upf
CELL_PARAMETERS angstrom
-2.749 -3.399 2.953
4.444 -2.589 1.157
0.065 4.619 10.090
ATOMIC_POSITIONS angstrom
Pm -0.435 -0.292 7.027
Pm 0.961 -0.875 12.368
Pm -0.984 -2.698 3.746
Pm 2.611 -2.303 2.835
Pm 0.116 2.129 10.326
Pm 3.162 0.118 6.135
In 1.516 -2.773 5.988
In -1.539 -0.800 10.127
Mg 2.063 -0.372 9.260
Mg 0.664 0.198 3.901

***

! PBE-GGA Sc6InAg, optimized geometry; values from VASP
! * uncorrected energy: -42.91 eV/cell
&SYSTEM
  ibrav = 0, nat = 8, ntyp = 3
/
ATOMIC_SPECIES
Sc 44.96 Sc.upf
Ag 107.87 Ag.upf
In 114.82 In.upf
CELL_PARAMETERS angstrom
-0.539 -5.084 -0.051
4.354 -1.750 -2.031
4.639 -2.877 6.616
ATOMIC_POSITIONS angstrom
Sc 2.718 -4.608 -1.044
Sc 7.062 -5.821 2.772
Sc 3.814 -2.238 0.781
Sc 1.392 -3.890 1.762
Sc 4.639 -7.473 3.752
Sc 5.735 -5.103 5.578
Ag 0.000 0.000 0.000
In 4.227 -4.856 2.267

***

! PBE-GGA Y2WSe, optimized geometry; values from VASP
! * formation energy (no corrections): -0.17 eV per atom
! * uncorrected energy: -30.05 eV/cell
&SYSTEM
  ibrav = 0, nat = 4, ntyp = 3
/
ATOMIC_SPECIES
Se 78.96 Se.upf
W 183.84 W.upf
Y 88.91 Y.upf
CELL_PARAMETERS angstrom
5.872 0.001 -0.002
4.928 3.193 -0.002
1.408 0.417 4.853
ATOMIC_POSITIONS angstrom
Se 6.560 1.940 2.474
W 2.691 0.796 1.135
Y 9.235 2.731 3.416
Y 10.625 3.142 0.247

***

! PBE-GGA TbPm2Sm3Se6, optimized geometry; values from VASP
! * formation energy (no corrections): -1.82 eV per atom
! * uncorrected energy: -71.01 eV/cell
&SYSTEM
  ibrav = 0, nat = 12, ntyp = 4
/
ATOMIC_SPECIES
Sm 150.36 Sm.upf
Se 78.96 Se.upf
Pm 145.00 Pm.upf
Tb 158.93 Tb.upf
CELL_PARAMETERS angstrom
-5.587 1.641 -4.277
4.501 -5.363 -1.784
-3.545 -3.169 5.440
ATOMIC_POSITIONS angstrom
Sm -5.638 -1.138 -1.132
Sm 1.007 -5.752 0.510
Sm -2.315 -3.445 -0.311
Se -2.919 -3.279 2.598
Se -5.134 -4.043 -0.886
Se 0.504 -2.848 0.264
Se -1.712 -3.611 -3.219
Se -2.796 -0.556 -0.552
Se -1.835 -6.334 -0.070
Pm 1.143 -3.031 -2.614
Pm -2.229 -0.690 -3.447
Tb 0.000 0.000 0.000

***

! PBE-GGA LiNbGe2, optimized geometry; values from VASP
! * uncorrected energy: -41.73 eV/cell
&SYSTEM
  ibrav = 0, nat = 8, ntyp = 3
/
ATOMIC_SPECIES
Li 6.94 Li.upf
Ge 72.64 Ge.upf
Nb 92.91 Nb.upf
CELL_PARAMETERS angstrom
6.840 0.000 0.000
0.000 6.840 0.000
3.420 3.420 2.837
ATOMIC_POSITIONS angstrom
Li 3.420 6.840 1.418
Li 3.420 3.420 0.000
Ge 1.899 5.130 0.709
Ge 5.130 5.319 2.128
Ge 8.550 8.361 2.128
Ge 4.941 1.710 0.709
Nb 0.000 0.000 0.000
Nb 6.840 3.420 1.418

***

! PBE-GGA Rb2Np2VTe6, optimized geometry; values from VASP
! * formation energy (no corrections): -0.71 eV per atom
! * uncorrected energy: -63.56 eV/cell
&SYSTEM
  ibrav = 0, nat = 11, ntyp = 4
/
ATOMIC_SPECIES
Te 127.60 Te.upf
Rb 85.47 Rb.upf
Np 237.00 Np.upf
V 50.94 V.upf
CELL_PARAMETERS angstrom
-0.931 7.356 0.172
-2.536 -4.149 5.601
8.948 -0.257 2.100
ATOMIC_POSITIONS angstrom
Te 0.318 4.178 4.278
Te -0.177 0.630 5.953
Te 5.164 -1.228 3.595
Te 1.927 0.705 2.064
Te 5.659 2.320 1.920
Te 3.555 2.245 5.809
Rb -2.258 -2.161 4.663
Rb -1.208 5.369 1.110
Np 3.010 3.408 3.025
Np 2.471 -0.457 4.848
V 4.474 -0.129 1.050